(1)
InHg2As | GGA-PBEsol | optimized geometry

Cell lengths 3.3045, 3.3045, 8.2304 Å; angles 90.00, 90.00, 90.00 degrees
With the nearest neighbours (Å) after each atom.
Space group P4mm (No. 99)
Asymmetric unit:
In  0.0000  0.0000  0.0000 x1  4 As 3.02, 4 Hg 3.22, 4 In 3.30
Hg  0.0000  0.0000  0.4739 x1  4 As 3.07, 8 Hg 3.15-3.30
Hg  0.5000  0.5000  0.7311 x1  8 Hg 3.15-3.30, 4 In 3.22
As  0.5000  0.5000  0.2319 x1  4 In 3.02, 4 Hg 3.07, 4 As 3.30

* volume: 89.9 Å³/f.u.

***

(2)
InHgAs2 | GGA-PBEsol | optimized geometry

Cell lengths 3.6404, 3.6404, 7.2617 Å; angles 90.00, 90.00, 90.00 degrees
With the nearest neighbours (Å) after each atom.
Space group P4/mmm (No. 123)
Asymmetric unit:
In  0.0000  0.0000  0.0000 x1  8 As 2.88
Hg  0.0000  0.0000  0.5000 x1  8 As 3.48, 2 In 3.63, 4 Hg 3.64
As  0.5000  0.5000  0.1782 x2  1 As 2.59, 4 In 2.88

* volume: 96.2 Å³/f.u.

***

(3)
InHg2As | GGA-PBEsol | optimized geometry

Cell lengths 3.2132, 5.2897, 10.5693 Å; angles 90.00, 90.00, 90.00 degrees
With the nearest neighbours (Å) after each atom.
Space group Immm (No. 71)
Asymmetric unit:
In  0.0000  0.0000  0.0000 x2  4 As 3.09, 4 Hg 3.21, 2 In 3.21
Hg  0.0000  0.5000  0.2370 x4  2 As 2.98, 6 Hg 3.11-3.21, 2 In 3.21
As  0.0000  0.0000  0.5000 x2  4 Hg 2.98, 4 In 3.09, 2 As 3.21

* volume: 89.8 Å³/f.u.

***

(4)
In2HgAs | GGA-PBEsol | optimized geometry

Cell lengths 4.7411, 4.7411, 8.2416 Å; angles 90.00, 90.00, 90.00 degrees
With the nearest neighbours (Å) after each atom.
Space group I-4m2 (No. 119)
Asymmetric unit:
In  0.0000  0.0000  0.0000 x2  4 Hg 3.14, 4 In 3.14, 4 As 3.35
In  0.0000  0.5000  0.2500 x2  4 As 3.14, 4 In 3.14, 4 Hg 3.35
Hg  0.0000  0.5000  0.7500 x2  8 In 3.14-3.35, 4 As 3.14
As  0.0000  0.0000  0.5000 x2  4 Hg 3.14, 8 In 3.14-3.35

* volume: 92.6 Å³/f.u.
* polymorph energy (0 for the lowest one): 170 meV per atom

***

(5)
KInHgAs2 | GGA-PBEsol | optimized geometry

Cell lengths 5.2154, 5.2154, 5.7463 Å; angles 90.00, 90.00, 90.00 degrees
With the nearest neighbours (Å) after each atom.
Space group P4/mmm (No. 123)
Asymmetric unit:
K  0.0000  0.0000  0.0000 x1  2 Hg 2.87
In  0.5000  0.5000  0.0000 x1  4 K 3.69, 8 As 3.88
Hg  0.0000  0.0000  0.5000 x1  4 As 2.61, 2 K 2.87
As  0.0000  0.5000  0.5000 x2  2 Hg 2.61

* volume: 156.3 Å³/f.u.

***

(6)
Hg2AsIr | GGA-PBEsol | optimized geometry

Cell lengths 5.3230, 3.0874, 5.8472 Å; angles 90.00, 116.92, 90.00 degrees
With the nearest neighbours (Å) after each atom.
Space group Pm (No. 6)
Asymmetric unit:
Hg  0.0000  0.0000  0.0000 x1  2 Ir 2.81, 2 As 2.88, 2 Hg 3.09
Hg  0.2994  0.5000  0.5986 x1  2 Ir 2.67
As  0.6047  0.0000  0.2104 x1  2 Ir 2.35
Ir  0.7749  0.5000  0.5492 x1  2 As 2.35

* volume: 85.7 Å³/f.u.

***

(7)
MgHgAs2Ir | GGA-PBEsol | optimized geometry

Cell lengths 4.9563, 4.9563, 4.8505 Å; angles 90.00, 90.00, 90.00 degrees
With the nearest neighbours (Å) after each atom.
Space group P4/mmm (No. 123)
Asymmetric unit:
Mg  0.0000  0.0000  0.0000 x1  2 Hg 2.43
Hg  0.0000  0.0000  0.5000 x1  2 Mg 2.43, 4 As 2.48
As  0.0000  0.5000  0.5000 x2  2 Hg 2.48
Ir  0.5000  0.5000  0.0000 x1  8 As 3.47, 4 Mg 3.50

* volume: 119.1 Å³/f.u.

***

(8)
HgAsIr2Pt | GGA-PBEsol | optimized geometry

Cell lengths 4.8755, 4.8755, 4.7173 Å; angles 90.00, 90.00, 90.00 degrees
With the nearest neighbours (Å) after each atom.
Space group P4/mmm (No. 123)
Asymmetric unit:
Hg  0.0000  0.0000  0.0000 x1  2 As 2.36, 4 Ir 2.44
As  0.0000  0.0000  0.5000 x1  2 Hg 2.36
Ir  0.0000  0.5000  0.0000 x2  2 Hg 2.44
Pt  0.5000  0.5000  0.5000 x1  8 Ir 3.39, 4 As 3.45

* volume: 112.1 Å³/f.u.

***

(9)
YHgAs2Ir | GGA-PBEsol | optimized geometry

Cell lengths 5.1778, 5.1778, 5.3502 Å; angles 90.00, 90.00, 90.00 degrees
With the nearest neighbours (Å) after each atom.
Space group P4/mmm (No. 123)
Asymmetric unit:
Y  0.0000  0.0000  0.0000 x1  4 As 2.59, 2 Hg 2.68
Hg  0.0000  0.0000  0.5000 x1  2 Y 2.68
As  0.0000  0.5000  0.0000 x2  2 Y 2.59
Ir  0.5000  0.5000  0.5000 x1  4 Hg 3.66, 8 As 3.72

* volume: 143.4 Å³/f.u.

***

(10)
ZrHgAsIr2 | GGA-PBEsol | optimized geometry

Cell lengths 4.8514, 4.8514, 5.0603 Å; angles 90.00, 90.00, 90.00 degrees
With the nearest neighbours (Å) after each atom.
Space group P4/mmm (No. 123)
Asymmetric unit:
Zr  0.0000  0.0000  0.0000 x1  2 Hg 2.53
Hg  0.0000  0.0000  0.5000 x1  4 Ir 2.43, 2 Zr 2.53
As  0.5000  0.5000  0.0000 x1  4 Zr 3.43, 8 Ir 3.51
Ir  0.0000  0.5000  0.5000 x2  2 Hg 2.43

* volume: 119.1 Å³/f.u.

***

(11)
KHgAs2 | GGA-PBEsol | optimized geometry

Cell lengths 3.6034, 5.5873, 10.4487 Å; angles 90.00, 90.00, 90.00 degrees
With the nearest neighbours (Å) after each atom.
Space group Imm2 (No. 44)
Asymmetric unit:
K  0.0000  0.0000  0.0000 x2  8 As 3.38-3.58, 4 Hg 3.50-3.61, 2 K 3.60
Hg  0.0000  0.5000  0.2011 x2  6 As 3.25-3.44, 4 K 3.50-3.61, 2 Hg 3.60
As  0.0000  0.0000  0.4418 x2  2 As 2.43
As  0.0000  0.5000  0.7855 x2  2 As 2.43

* volume: 105.2 Å³/f.u.

***

(12)
KHgAs3 | GGA-PBEsol | optimized geometry

Cell lengths 5.2467, 5.2467, 5.2467 Å; angles 90.00, 90.00, 90.00 degrees
With the nearest neighbours (Å) after each atom.
Space group Pm-3m (No. 221)
Asymmetric unit:
K  0.0000  0.0000  0.0000 x1  12 As 3.71
Hg  0.5000  0.5000  0.5000 x1  6 As 2.62
As  0.0000  0.5000  0.5000 x3  2 Hg 2.62

* volume: 144.4 Å³/f.u.

***

Number 1: total magnetic moment 0.00 μB per atom, E_form 0.6 eV per formula unit. Number 2: total magnetic moment 0.00 μB per atom, E_form 0.9 eV per formula unit. Number 3: total magnetic moment 0.00 μB per atom, E_form 0.5 eV per formula unit. Number 4: total magnetic moment 0.00 μB per atom, E_form 0.4 eV per formula unit. Number 5: total magnetic moment 0.00 μB per atom, E_form 2.1 eV per formula unit. Number 6: total magnetic moment 0.00 μB per atom, E_form 0.7 eV per formula unit. Number 7: total magnetic moment 0.00 μB per atom, E_form 7.4 eV per formula unit. Number 8: total magnetic moment 0.24 μB per atom, E_form 12.3 eV per formula unit. Number 9: total magnetic moment 0.22 μB per atom, E_form 7.4 eV per formula unit. Number 10: total magnetic moment 0.00 μB per atom, E_form 9.2 eV per formula unit. Number 11: total magnetic moment 0.00 μB per atom, E_form -0.7 eV per formula unit. Number 12: total magnetic moment 0.00 μB per atom, E_form 2.8 eV per formula unit.